Record 1
Entry from Alexandria via LeMat-Bulk: crystalline Ti4CdCo2 at its relaxed geometry (GGA-PBE).

## Properties
The size of the total moment is 0.00 μB per formula unit. The value obtained for the energy is -46.60 eV/cell.

The structure in POSCAR format:
```
Ti4CdCo2
1.0
3.759 0.000 0.000
1.880 3.255 0.000
1.880 1.085 9.961
Ti Co Cd
4 2 1
Cartesian
5.639 3.255 9.024 Ti
1.880 1.085 0.937 Ti
5.639 3.255 2.948 Ti
1.880 1.085 7.013 Ti
3.759 2.170 1.944 Co
3.759 2.170 8.018 Co
3.759 2.170 4.981 Cd
```

Record 2
Entry from Alexandria via LeMat-Bulk: crystalline Ti2Cd2Co at its relaxed geometry (GGA-PBE).

## Properties
The size of the total moment is 0.40 μB per formula unit. The energy above the most stable polymorph in this dataset is 0.000 eV/atom.

The structure in POSCAR format:
```
Ti2Cd2Co
1.0
-2.703 -5.496 0.355
5.499 -2.716 -0.173
0.249 0.193 4.880
Ti Cd Co
4 4 2
Cartesian
1.324 -6.421 0.186 Ti
-0.916 -4.027 0.206 Ti
3.712 -4.185 -0.024 Ti
1.472 -1.791 -0.004 Ti
-0.290 -5.403 2.678 Cd
2.919 -5.826 2.532 Cd
3.335 -2.616 2.384 Cd
0.126 -2.193 2.530 Cd
1.398 -4.106 0.091 Co
0.000 0.000 0.000 Co
```

Record 3
Entry from Alexandria via LeMat-Bulk: crystalline TiCd2Co at its relaxed geometry (GGA-PBE).

## Properties
The size of the total moment is 0.00 μB per formula unit. The energy above the most stable polymorph in this dataset is 0.300 eV/atom.

The structure in POSCAR format:
```
TiCd2Co
1.0
-7.626 0.608 -1.796
1.158 -4.398 -6.408
-3.708 -3.941 -2.783
Ti Cd Co
2 4 2
Cartesian
-3.234 -1.895 -4.102 Ti
-2.892 -5.117 -6.647 Ti
-8.370 -6.538 -9.654 Cd
-5.276 -4.111 -4.776 Cd
-6.010 -1.118 -2.728 Cd
-0.695 -3.695 -4.817 Cd
-7.284 -2.614 -4.340 Co
0.000 0.000 0.000 Co
```

Record 4
Entry from Alexandria via LeMat-Bulk: crystalline TiTlCd2Co at its relaxed geometry (GGA-PBE).

## Properties
The size of the total moment is 0.13 μB per formula unit. The value obtained for the energy is -12.12 eV/cell.

The structure in POSCAR format:
```
TiTlCd2Co
1.0
-0.808 -4.850 1.911
-1.701 -1.624 -4.841
4.939 -1.330 -1.289
Co Ti Tl Cd
1 1 1 2
Cartesian
1.215 -3.902 -2.110 Co
-0.851 -0.812 -2.421 Ti
0.000 0.000 0.000 Tl
-0.404 -2.425 0.956 Cd
2.470 -0.665 -0.645 Cd
```